Entry 1:
First-principles (PBE) data for crystalline Ho5ThRh6 at its relaxed geometry, as listed in Alexandria via LeMat-Bulk.

```
data_Ho5ThRh6
_chemical_formula_sum 'Ho5 Th1 Rh6'
_cell_length_a 4.821
_cell_length_b 7.027
_cell_length_c 7.614
_cell_angle_alpha 90.00
_cell_angle_beta 108.32
_cell_angle_gamma 90.00
_symmetry_space_group_name_H-M 'P 1 2/m 1'
_symmetry_Int_Tables_number 10
_symmetry_space_group_name_Hall '-P 2y'
loop_
_atom_site_label
_atom_site_fract_x
_atom_site_fract_y
_atom_site_fract_z
Ho1 0.000 0.000 0.000
Ho2 0.329 0.500 0.658
Ho3 0.332 0.000 0.665
Th1 0.000 0.500 0.000
Rh1 0.165 0.249 0.329
Rh2 0.500 0.252 0.000
```

Computed properties:
Total magnetization (μB/f.u.): 0.00
Formation enthalpy at 0 K (eV per atom): -0.888

=====

Entry 2:
First-principles (PBE) data for crystalline DyLuThPa at its relaxed geometry, as listed in Alexandria via LeMat-Bulk.

```
data_DyLuThPa
_chemical_formula_sum 'Dy4 Lu4 Th4 Pa4'
_cell_length_a 7.808
_cell_length_b 7.808
_cell_length_c 7.808
_cell_angle_alpha 90.00
_cell_angle_beta 90.00
_cell_angle_gamma 90.00
_symmetry_space_group_name_H-M 'F -4 3 m'
_symmetry_Int_Tables_number 216
_symmetry_space_group_name_Hall 'F -4 2 3'
loop_
_atom_site_label
_atom_site_fract_x
_atom_site_fract_y
_atom_site_fract_z
Dy1 0.000 0.000 0.000
Lu1 0.250 0.250 0.250
Th1 0.000 0.000 0.500
Pa1 0.250 0.250 0.750
```

Computed properties:
Total magnetization (μB/f.u.): 1.50
Formation enthalpy at 0 K (eV per atom): 0.342

=====

Entry 3:
First-principles (PBE) data for crystalline KZnRe2N at its relaxed geometry, as listed in Alexandria via LeMat-Bulk.

```
data_KZnRe2N
_chemical_formula_sum 'K1 Zn1 Re2 N1'
_cell_length_a 3.991
_cell_length_b 3.991
_cell_length_c 5.852
_cell_angle_alpha 90.00
_cell_angle_beta 90.00
_cell_angle_gamma 90.00
_symmetry_space_group_name_H-M 'P 4/m m m'
_symmetry_Int_Tables_number 123
_symmetry_space_group_name_Hall '-P 4 2'
loop_
_atom_site_label
_atom_site_fract_x
_atom_site_fract_y
_atom_site_fract_z
K1 0.000 0.000 0.000
Zn1 0.500 0.500 0.000
Re1 0.000 0.500 0.500
N1 0.500 0.500 0.500
```

Computed properties:
Total magnetization (μB/f.u.): 0.00
E_form (uncorrected) (eV per atom): 0.905